Record 1
A relaxed KLiMg2 crystal, computed with PBE-GGA.

```
4
Lattice="3.416 0.000 0.000 0.000 4.184 0.000 0.000 0.000 8.555" Properties=species:S:1:pos:R:3 pbc="T T T"
K 0.000 0.000 0.000
Li 1.708 2.092 2.747
Mg 0.000 0.000 4.125
Mg 1.708 2.092 5.805
```

Values from the calculation:
**Space group**: Pmm2 (25)
**Size of the total moment**: 0.00 μB/f.u.
**E_form**: 0.122 eV per atom
**ρ**: 1.285 g cm⁻³


Record 2
A relaxed KLiMg2 crystal, computed with PBE-GGA.

```
8
Lattice="-2.829 2.829 10.533 2.829 -2.829 10.533 2.829 2.829 -10.533" Properties=species:S:1:pos:R:3 pbc="T T T"
K 0.000 0.000 0.000
K 0.000 2.829 5.266
Li 2.829 0.000 5.266
Li 0.000 0.000 10.533
Mg 1.415 -0.162 7.899
Mg 2.667 1.415 2.633
Mg 1.415 2.992 -2.633
Mg 0.162 1.415 13.166
```

Values from the calculation:
**Space group**: I-42d (122)
**Size of the total moment**: 0.00 μB/f.u.
**E_form**: 0.332 eV per atom
**ρ**: 0.932 g cm⁻³


Record 3
A relaxed K2Li2Mg crystal, computed with PBE-GGA.

```
5
Lattice="-2.016 2.016 12.030 2.016 -2.016 12.030 2.016 2.016 -12.030" Properties=species:S:1:pos:R:3 pbc="T T T"
K 0.000 0.000 2.706
K 0.000 0.000 21.354
Li 2.016 0.000 6.015
Li 0.000 2.016 6.015
Mg 0.000 0.000 12.030
```

Values from the calculation:
**Space group**: I4/mmm (139)
**Size of the total moment**: 0.00 μB/f.u.
**E_form**: 0.203 eV per atom
**ρ**: 0.988 g cm⁻³


Record 4
A relaxed KLiMg2 crystal, computed with PBE-GGA.

```
4
Lattice="5.515 -1.594 0.000 5.515 1.594 0.000 -0.789 0.000 7.042" Properties=species:S:1:pos:R:3 pbc="T T T"
K 0.000 0.000 0.000
Li 5.121 0.000 3.521
Mg 2.028 0.000 4.789
Mg 8.213 0.000 2.253
```

Values from the calculation:
**Space group**: C2/m (12)
**Size of the total moment**: 0.00 μB/f.u.
**E_form**: 0.176 eV per atom
**ρ**: 1.269 g cm⁻³